Entry from Alexandria via LeMat-Bulk: an optimized crystal structure of RbAl2H8 (GGA-PBE).

Cell and atoms, written as CIF:
```
data_RbAl2H8
_chemical_formula_sum 'Rb2 Al4 H16'
_symmetry_space_group_name_H-M 'C m m m'
_symmetry_Int_Tables_number 65
_symmetry_space_group_name_Hall '-C 2 2'
_cell_length_a 5.6146
_cell_length_b 12.3919
_cell_length_c 3.5828
_cell_angle_alpha 90.00
_cell_angle_beta 90.00
_cell_angle_gamma 90.00
loop_
_atom_site_label
_atom_site_type_symbol
_atom_site_fract_x
_atom_site_fract_y
_atom_site_fract_z
Rb1 Rb 0.0000 0.0000 0.0000
Al1 Al 0.0000 0.2589 0.5000
H1 H 0.0000 0.2550 0.0000
H2 H 0.0000 0.5000 0.3919
H3 H 0.2381 0.1584 0.5000
```

Values from the calculation:
Total magnetization (μB/f.u.): 0.00



Entry from Alexandria via LeMat-Bulk: an optimized crystal structure of RbAlSbH (GGA-PBE).

Cell and atoms, written as CIF:
```
data_RbAlSbH
_chemical_formula_sum 'Rb3 Al3 Sb3 H3'
_symmetry_space_group_name_H-M 'R 3 m'
_symmetry_Int_Tables_number 160
_symmetry_space_group_name_Hall 'R 3 -2"'
_cell_length_a 4.4227
_cell_length_b 4.4227
_cell_length_c 19.8811
_cell_angle_alpha 90.00
_cell_angle_beta 90.00
_cell_angle_gamma 120.00
loop_
_atom_site_label
_atom_site_type_symbol
_atom_site_fract_x
_atom_site_fract_y
_atom_site_fract_z
Rb1 Rb 0.0000 0.0000 0.0000
Al1 Al 0.0000 0.0000 0.4818
Sb1 Sb 0.0000 0.0000 0.1949
H1 H 0.0000 0.0000 0.3978
```

Values from the calculation:
Total magnetization (μB/f.u.): 0.00



In the order shown, the computed final energy values come out to -3.222, -3.391 eV/atom.